Material: Sm5Tc2Br2
Method: DFT, PBE
State: relaxed

Values from the calculation:
Total magnetic moment (μB/cell): 0.00
Raw formation energy (eV/atom): -0.489
Calculated density (g cm⁻³): 7.14

Cell lengths 9.096, 9.096, 7.924 Å; angles 90.00, 90.00, 51.79 degrees
Element x y z (fractional)
1 Sm 0.000 0.000 0.000
2 Sm 0.046 0.733 0.654
3 Sm 0.233 0.546 0.154
4 Sm 0.267 0.954 0.654
5 Sm 0.454 0.767 0.154
6 Sm 0.500 0.500 0.500
7 Sm 0.546 0.233 0.846
8 Sm 0.733 0.046 0.346
9 Sm 0.767 0.454 0.846
10 Sm 0.954 0.267 0.346
11 Tc 0.138 0.862 0.363
12 Tc 0.362 0.638 0.863
13 Tc 0.638 0.362 0.137
14 Tc 0.862 0.138 0.637
15 Br 0.220 0.220 0.000
16 Br 0.280 0.280 0.500
17 Br 0.720 0.720 0.500
18 Br 0.780 0.780 0.000


Material: Sm4TcBr5
Method: DFT, PBE
State: relaxed

Values from the calculation:
Total magnetic moment (μB/cell): 0.00
Raw formation energy (eV/atom): -1.281
Calculated density (g cm⁻³): 5.53

Cell lengths 9.518, 9.518, 9.415 Å; angles 105.04, 105.04, 23.64 degrees
Element x y z (fractional)
1 Sm 0.003 0.003 0.237
2 Sm 0.357 0.357 0.924
3 Sm 0.643 0.643 0.076
4 Sm 0.997 0.997 0.763
5 Tc 0.500 0.500 0.000
6 Br 0.169 0.169 0.324
7 Br 0.170 0.170 0.849
8 Br 0.500 0.500 0.500
9 Br 0.830 0.830 0.151
10 Br 0.831 0.831 0.676


| no. | calculated volume (Å³/f.u.) |
| --- | --- |
| 1 | 258 |
| 2 | 330 |